Material: VAuI2O
Method: DFT, PBE+U
State: optimized geometry

Geometry as CIF:
```
data_VAuI2O
_chemical_formula_sum 'V1 Au1 I2 O1'
_cell_length_a 5.737
_cell_length_b 5.737
_cell_length_c 3.683
_cell_angle_alpha 90.00
_cell_angle_beta 90.00
_cell_angle_gamma 90.00
_space_group_name_H-M_alt 'P 4/m m m'
_space_group_IT_number 123
_space_group_name_Hall '-P 4 2'
loop_
_atom_site_label
_atom_site_type_symbol
_atom_site_fract_x
_atom_site_fract_y
_atom_site_fract_z
V1 V 0.000 0.000 0.000
Au1 Au 0.500 0.500 0.500
I1 I 0.000 0.500 0.000
O1 O 0.000 0.000 0.500
```

Calculated values
Total DFT energy (no corrections) (eV per atom): -4.063
Volume (Å³/cell): 121